Crystalline ZnFeSi2 at its relaxed geometry. Source: Alexandria, functional PBE-GGA.

```
ZnFeSi2
1.0
3.266 0.000 0.000
0.000 3.266 0.000
0.000 0.000 4.846
Zn Fe Si
1 1 2
Direct
0.000 0.000 0.000 Zn
0.500 0.500 0.279 Fe
0.000 0.000 0.491 Si
0.500 0.500 0.759 Si
```

Output
size of the total moment = 1.43 Bohr magnetons per cell
SG = No. 99
E_tot = -5.10 eV/atom

***

Crystalline ZnFeSi2 at its relaxed geometry. Source: Alexandria, functional PBE-GGA.

```
ZnFeSi2
1.0
7.758 0.000 0.000
0.000 2.850 0.000
-0.751 0.000 4.663
Zn Fe Si
2 2 4
Direct
0.000 0.000 0.000 Zn
0.500 0.500 0.000 Zn
0.000 0.500 0.500 Fe
0.500 0.000 0.500 Fe
0.235 0.000 0.711 Si
0.265 0.500 0.289 Si
0.735 0.500 0.711 Si
0.765 0.000 0.289 Si
```

Output
size of the total moment = 0.00 Bohr magnetons per cell
SG = No. 12
E_tot = -5.13 eV/atom

***

Crystalline Zn2FeSi at its relaxed geometry. Source: Alexandria, functional PBE-GGA.

```
Zn2FeSi
1.0
2.741 0.000 0.000
-1.370 2.374 0.000
0.000 0.000 24.606
Zn Fe Si
6 3 3
Direct
0.000 0.000 0.000 Zn
0.000 0.000 0.240 Zn
0.333 0.667 0.667 Zn
0.333 0.667 0.907 Zn
0.667 0.333 0.333 Zn
0.667 0.333 0.574 Zn
0.000 0.000 0.492 Fe
0.333 0.667 0.158 Fe
0.667 0.333 0.825 Fe
0.000 0.000 0.756 Si
0.333 0.667 0.423 Si
0.667 0.333 0.089 Si
```

Output
size of the total moment = 2.85 Bohr magnetons per cell
SG = No. 160
E_tot = -4.06 eV/atom

***

Crystalline Zn4FeSi at its relaxed geometry. Source: Alexandria, functional PBE-GGA.

```
Zn4FeSi
1.0
0.000 3.516 3.516
3.516 0.000 3.516
3.516 3.516 0.000
Zn Fe Si
4 1 1
Direct
0.124 0.124 0.124 Zn
0.124 0.124 0.627 Zn
0.124 0.627 0.124 Zn
0.627 0.124 0.124 Zn
0.750 0.750 0.750 Fe
0.500 0.500 0.500 Si
```

Output
size of the total moment = 1.82 Bohr magnetons per cell
SG = No. 216
E_tot = -2.84 eV/atom

***

Crystalline Zn2FeSi at its relaxed geometry. Source: Alexandria, functional PBE-GGA.

```
Zn2FeSi
1.0
2.676 0.000 0.000
-1.338 2.317 0.000
0.000 0.000 27.166
Zn Fe Si
6 3 3
Direct
0.000 0.000 0.244 Zn
0.000 0.000 0.756 Zn
0.333 0.667 0.423 Zn
0.333 0.667 0.911 Zn
0.667 0.333 0.089 Zn
0.667 0.333 0.577 Zn
0.000 0.000 0.500 Fe
0.333 0.667 0.167 Fe
0.667 0.333 0.833 Fe
0.000 0.000 0.000 Si
0.333 0.667 0.667 Si
0.667 0.333 0.333 Si
```

Output
size of the total moment = 7.51 Bohr magnetons per cell
SG = No. 166
E_tot = -3.94 eV/atom

***

Crystalline ZnFeSi2 at its relaxed geometry. Source: Alexandria, functional PBE-GGA.

```
ZnFeSi2
1.0
5.926 0.000 0.000
0.000 5.926 0.000
0.000 0.000 5.926
Zn Fe Si
4 4 8
Direct
0.000 0.000 0.000 Zn
0.000 0.500 0.500 Zn
0.500 0.000 0.500 Zn
0.500 0.500 0.000 Zn
0.250 0.250 0.750 Fe
0.250 0.750 0.250 Fe
0.750 0.250 0.250 Fe
0.750 0.750 0.750 Fe
0.000 0.000 0.500 Si
0.000 0.500 0.000 Si
0.250 0.250 0.250 Si
0.250 0.750 0.750 Si
0.500 0.000 0.000 Si
0.500 0.500 0.500 Si
0.750 0.250 0.750 Si
0.750 0.750 0.250 Si
```

Output
size of the total moment = 4.19 Bohr magnetons per cell
SG = No. 216
E_tot = -4.75 eV/atom

***

Crystalline Zn2FeSi at its relaxed geometry. Source: Alexandria, functional PBE-GGA.

```
Zn2FeSi
1.0
3.683 0.000 0.000
0.000 3.683 0.000
0.000 0.000 7.542
Zn Fe Si
4 2 2
Direct
0.000 0.000 0.000 Zn
0.000 0.500 0.250 Zn
0.500 0.000 0.750 Zn
0.500 0.500 0.500 Zn
0.000 0.000 0.500 Fe
0.500 0.500 0.000 Fe
0.000 0.500 0.750 Si
0.500 0.000 0.250 Si
```

Output
size of the total moment = 2.62 Bohr magnetons per cell
SG = No. 119
E_tot = -4.08 eV/atom

***

Crystalline ZnFe14Si at its relaxed geometry. Source: Alexandria, functional PBE-GGA.

```
ZnFe14Si
1.0
5.697 0.000 0.000
0.000 5.697 0.000
0.000 0.000 5.717
Zn Fe Si
1 14 1
Direct
0.000 0.000 0.000 Zn
0.000 0.000 0.500 Fe
0.000 0.500 0.000 Fe
0.000 0.500 0.500 Fe
0.253 0.253 0.254 Fe
0.253 0.253 0.746 Fe
0.253 0.747 0.254 Fe
0.253 0.747 0.746 Fe
0.500 0.000 0.000 Fe
0.500 0.000 0.500 Fe
0.500 0.500 0.500 Fe
0.747 0.253 0.254 Fe
0.747 0.253 0.746 Fe
0.747 0.747 0.254 Fe
0.747 0.747 0.746 Fe
0.500 0.500 0.000 Si
```

Output
size of the total moment = 31.80 Bohr magnetons per cell
SG = No. 123
E_tot = -7.88 eV/atom

***

Question: Which formula does entry 8 have?
Answer: ZnFe14Si